# Re2SI GGA-PBEsol relaxed
# * E_tot: -28.3 eV/cell
# * density of states at the Fermi level: 3.08 states/eV/f.u.
# * size of the total moment: 0.000 μB/cell
data_Re2SI
_cell_length_a 4.452
_cell_length_b 4.452
_cell_length_c 4.452
_cell_angle_alpha 60.00
_cell_angle_beta 60.00
_cell_angle_gamma 60.00
_space_group_name_H-M_alt 'P 1'
_space_group_IT_number 1
loop_
_space_group_symop_operation_xyz
'x,y,z'
loop_
_atom_site_label
_atom_site_fract_x
_atom_site_fract_y
_atom_site_fract_z
I1 0.500 0.500 0.500
Re1 0.250 0.250 0.250
Re2 0.750 0.750 0.750
S1 0.000 0.000 0.000